# 1
16
Lattice="3.580 0.000 0.000 -1.790 5.957 0.000 0.000 0.000 12.275" Properties=species:S:1:pos:R:3 comment="SrCe2RuN4 PBE optimized geometry" space_group="No. 63" raw_formation_energy_mev_per_atom=-916 pbc="T T T"
N 1.790 2.933 7.449
N 1.790 1.085 3.069
Ce 0.000 4.376 11.665
Ce 1.790 1.580 5.528
Ce 1.790 1.580 0.610
N 0.000 4.871 9.206
Ru 0.000 2.139 3.069
N 0.000 0.000 0.000
N 0.000 3.023 4.826
N 0.000 3.023 1.312
Ce 0.000 4.376 6.747
Sr 1.790 4.985 3.069
Sr 0.000 0.971 9.206
N 1.790 2.933 10.964
Ru 1.790 3.818 9.206
N 0.000 0.000 6.138


# 2
14
Lattice="5.139 0.000 0.000 0.000 7.606 0.000 0.000 -3.803 6.587" Properties=species:S:1:pos:R:3 comment="Sc3Ge3Rh PBE optimized geometry" ef_ev_per_atom=-0.531 space_group="No. 176" pbc="T T T"
Sc 1.285 -1.801 4.176
Ge 1.285 1.733 0.350
Sc 3.854 2.716 3.648
Rh 3.854 0.000 4.392
Ge 1.285 6.436 1.326
Sc 3.854 5.604 2.412
Ge 1.285 3.240 4.911
Sc 1.285 0.714 6.059
Ge 3.854 2.070 6.237
Ge 3.854 -2.633 5.262
Sc 3.854 3.090 0.528
Sc 1.285 1.087 2.940
Rh 1.285 3.803 2.196
Ge 3.854 0.563 1.676


# 3
8
Lattice="5.477 0.000 0.000 0.000 5.477 0.000 2.739 2.739 4.646" Properties=species:S:1:pos:R:3 comment="Nb2InH PBE optimized geometry" space_group="No. 141" pbc="T T T"
Nb 2.739 4.108 1.162
Nb 6.846 5.477 3.485
In 5.477 2.739 2.323
H 2.739 5.477 2.323
H 2.739 2.739 0.000
In 0.000 0.000 0.000
Nb 4.108 5.478 3.485
Nb 2.738 1.369 1.162


# 4
4
Lattice="5.651 -0.033 0.000 -1.623 5.413 0.000 0.000 0.000 3.498" Properties=species:S:1:pos:R:3 comment="LaZrTl2 PBE optimized geometry" ef_ev_per_atom=-0.130 space_group="No. 65" pbc="T T T"
La -0.812 2.706 1.749
Zr 2.826 -0.017 1.749
Tl 0.000 0.000 0.000
Tl 2.014 2.690 0.000


# 5
5
Lattice="4.490 0.000 0.000 0.000 4.490 0.000 0.000 0.000 4.490" Properties=species:S:1:pos:R:3 comment="BeGa3Fe PBE optimized geometry" ef_ev_per_atom=0.504 space_group="No. 221" pbc="T T T"
Be 2.245 2.245 2.245
Fe 0.000 0.000 0.000
Ga 0.000 2.245 0.000
Ga 2.245 0.000 0.000
Ga 0.000 0.000 2.245


# 6
4
Lattice="-1.068 3.988 -2.028 -4.120 1.914 0.718 -0.347 3.837 2.512" Properties=species:S:1:pos:R:3 comment="MgNpTcOs PBE optimized geometry" ef_ev_per_atom=0.136 space_group="No. 216" pbc="T T T"
Tc -2.767 4.869 0.601
Np -1.384 2.435 0.300
Os 0.000 0.000 0.000
Mg -4.151 7.304 0.901


| no. | E (eV/atom) |
| --- | --- |
| 1 | -7.93 |
| 2 | -6.27 |
| 3 | -6.26 |
| 4 | -4.68 |
| 5 | -3.75 |
| 6 | -8.90 |